(1)
Computed, not measured: a relaxed YTl2W crystal at the PBE-GGA level of DFT.

a b c (Å): 5.7564 5.7564 5.7564
angles (deg): 135.55 135.55 64.67
With the nearest neighbours (Å) after each atom.
Fractional positions:
Tl 0.0000 0.0000 0.0000  4 W 3.08, 4 Tl 3.26, 4 Y 3.26
Tl 0.2500 0.7500 0.5000  4 Y 3.08, 4 Tl 3.26, 4 W 3.26
W 0.5000 0.5000 0.0000  8 Tl 3.08-3.26, 4 Y 3.26
Y 0.7500 0.2500 0.5000  8 Tl 3.08-3.26, 4 W 3.26

## Properties
* energy relative to the elements: 56 kJ per mole of atoms
* magnetization: 0.87 μB per cell
* E above lowest polymorph: 109 meV/atom
* SG: I-4m2, No. 119

(2)
Computed, not measured: a relaxed YTlW crystal at the PBE-GGA level of DFT.

a b c (Å): 5.7863 5.7863 5.7863
angles (deg): 146.96 139.97 52.85
With the nearest neighbours (Å) after each atom.
Fractional positions:
Tl 0.9840 0.9840 0.0000  4 W 2.97, 5 Y 3.21-3.25, 2 Tl 3.29
W 0.3414 0.3414 0.0000  4 Tl 2.97, 4 Y 3.10, 2 W 3.29
Y 0.6746 0.6746 0.0000  5 W 3.10-3.45, 5 Tl 3.21-3.25, 2 Y 3.29

## Properties
* energy relative to the elements: 55 kJ per mole of atoms
* magnetization: 0.00 μB per cell
* E above lowest polymorph: 25 meV/atom
* SG: Imm2, No. 44

(3)
Computed, not measured: a relaxed YTl2W crystal at the PBE-GGA level of DFT.

a b c (Å): 7.1854 7.1854 4.9312
angles (deg): 69.88 69.88 25.19
With the nearest neighbours (Å) after each atom.
Fractional positions:
Tl 0.0050 0.0050 0.9955  4 W 2.92, 2 Tl 3.13
Tl 0.8056 0.8056 0.6936  2 W 2.98, 2 Tl 3.13, 4 Y 3.29
W 0.4985 0.4985 0.5021  6 Tl 2.92-2.98, 2 Y 2.97, 2 W 3.13
Y 0.1909 0.1909 0.3087  2 W 2.97, 2 Y 3.13, 4 Tl 3.29

## Properties
* energy relative to the elements: 51 kJ per mole of atoms
* magnetization: 0.00 μB per cell
* E above lowest polymorph: 57 meV/atom
* SG: Cm, No. 8

(4)
Computed, not measured: a relaxed YTlW crystal at the PBE-GGA level of DFT.

a b c (Å): 7.4095 7.4095 7.4095
angles (deg): 156.05 156.05 34.12
With the nearest neighbours (Å) after each atom.
Fractional positions:
Tl 0.9900 0.9900 0.0000  4 Tl 3.07, 4 W 3.10, 4 Y 3.41
W 0.3344 0.3344 0.0000  4 W 3.07, 4 Tl 3.10, 4 Y 3.13
Y 0.6756 0.6756 0.0000  4 Y 3.07, 4 W 3.13, 4 Tl 3.41

## Properties
* energy relative to the elements: 53 kJ per mole of atoms
* magnetization: 0.00 μB per cell
* E above lowest polymorph: 0 meV/atom
* SG: I4mm, No. 107

(5)
Computed, not measured: a relaxed YTl2W crystal at the PBE-GGA level of DFT.

a b c (Å): 10.3831 10.3831 10.3831
angles (deg): 17.86 17.86 17.86
With the nearest neighbours (Å) after each atom.
Fractional positions:
Tl 0.9937 0.9937 0.9937  3 W 3.01, 6 Tl 3.22, 3 Y 3.32
Tl 0.5063 0.5063 0.5063  3 W 3.01, 6 Tl 3.22, 3 Y 3.32
W 0.2500 0.2500 0.2500  6 Tl 3.01, 6 W 3.22
Y 0.7500 0.7500 0.7500  6 Y 3.22, 6 Tl 3.32

## Properties
* energy relative to the elements: 56 kJ per mole of atoms
* magnetization: 0.00 μB per cell
* E above lowest polymorph: 112 meV/atom
* SG: R-3m, No. 166

(6)
Computed, not measured: a relaxed YTlW2 crystal at the PBE-GGA level of DFT.

a b c (Å): 9.6524 9.6524 9.6524
angles (deg): 19.34 19.34 19.34
With the nearest neighbours (Å) after each atom.
Fractional positions:
Tl 0.7434 0.7434 0.7434  3 W 3.11, 6 Tl 3.24, 3 Y 3.34
W 0.9892 0.9892 0.9892  3 W 2.58
W 0.2599 0.2599 0.2599  3 W 2.58
Y 0.5075 0.5075 0.5075  3 W 3.07, 6 Y 3.24, 3 Tl 3.34

## Properties
* energy relative to the elements: 48 kJ per mole of atoms
* magnetization: 0.00 μB per cell
* E above lowest polymorph: 202 meV/atom
* SG: R3m, No. 160

(7)
Computed, not measured: a relaxed YTl2W crystal at the PBE-GGA level of DFT.

a b c (Å): 3.1221 3.1221 9.8858
angles (deg): 90.00 90.00 107.64
With the nearest neighbours (Å) after each atom.
Fractional positions:
Tl 0.0000 0.0000 0.0194  2 W 2.93, 4 Tl 3.12, 2 Y 3.24
Tl 0.0000 0.0000 0.4806  2 W 2.93, 4 Tl 3.12, 2 Y 3.24
W 0.5000 0.5000 0.2500  4 Tl 2.93, 4 W 3.12
Y 0.5000 0.5000 0.7500  4 Y 3.12, 4 Tl 3.24

## Properties
* energy relative to the elements: 57 kJ per mole of atoms
* magnetization: 0.00 μB per cell
* E above lowest polymorph: 120 meV/atom
* SG: Cmmm, No. 65

(8)
Computed, not measured: a relaxed YTlW2 crystal at the PBE-GGA level of DFT.

a b c (Å): 10.1888 10.1888 10.1888
angles (deg): 17.33 17.33 17.33
With the nearest neighbours (Å) after each atom.
Fractional positions:
Tl 0.7500 0.7500 0.7500  6 W 3.01, 6 Tl 3.07
W 0.0026 0.0026 0.0026  3 Tl 3.01, 6 W 3.07, 3 Y 3.14
W 0.4974 0.4974 0.4974  3 Tl 3.01, 6 W 3.07, 3 Y 3.14
Y 0.2500 0.2500 0.2500  6 Y 3.07, 6 W 3.14

## Properties
* energy relative to the elements: 96 kJ per mole of atoms
* magnetization: 0.00 μB per cell
* E above lowest polymorph: 696 meV/atom
* SG: R-3m, No. 166

Fermi-level density of states in states/eV/f.u., matching the order above: 2.9; 2.5; 1.6; 2.2; 3.1; 2.6; 1.5; 3.3